Entry from the Alexandria database: Li2Ga5Pt3 after structural relaxation (PBE-GGA).

Values from the calculation:
symmetry	No. 36
calculated volume	16.99	A^3/atom
energy of formation	-5.97	eV per formula unit
DFT total energy	-4.305	eV/atom

a = 4.2002 Å, b = 6.6306 Å, c = 12.3775 Å
α = 90.00°, β = 99.77°, γ = 90.00°
Fractional positions:
1 Ga 0.2951 0.4815 0.5903
2 Ga 0.7057 0.4146 0.4113
3 Ga 0.5999 0.9071 0.1999
4 Ga 0.0501 0.6089 0.1002
5 Ga 0.8798 0.7706 0.7596
6 Ga 0.2943 0.9146 0.5887
7 Ga 0.7049 0.9815 0.4097
8 Ga 0.1202 0.2706 0.2404
9 Ga 0.9499 0.1089 0.8998
10 Ga 0.4001 0.4071 0.8001
11 Pt 0.9523 0.4959 0.9046
12 Pt 0.0477 0.9959 0.0954
13 Pt 0.7753 0.6969 0.5506
14 Pt 0.2247 0.1969 0.4494
15 Pt 0.6057 0.5152 0.2113
16 Pt 0.3943 0.0152 0.7887
17 Li 0.5170 0.2728 0.0340
18 Li 0.8239 0.2012 0.6478
19 Li 0.1761 0.7012 0.3522
20 Li 0.4830 0.7728 0.9660